# 1
Material: GaCoS2N
Method: DFT, PBE
State: optimized geometry

Summary:
**Energy above the most stable polymorph in this dataset**: 0.0 meV per atom
**Crystal system**: tetragonal
**Total energy**: -25.01 eV per cell

The structure in CIF format:
```
data_GaCoS2N
_cell_length_a 4.7204
_cell_length_b 4.7204
_cell_length_c 3.3856
_cell_angle_alpha 90.00
_cell_angle_beta 90.00
_cell_angle_gamma 90.00
_symmetry_space_group_name_H-M 'P 4/m m m'
_symmetry_Int_Tables_number 123
_symmetry_space_group_name_Hall '-P 4 2'
loop_
_atom_site_label
_atom_site_type_symbol
_atom_site_fract_x
_atom_site_fract_y
_atom_site_fract_z
Ga1 Ga 0.0000 0.0000 0.0000
Co1 Co 0.5000 0.5000 0.5000
S1 S 0.0000 0.5000 0.5000
N1 N 0.5000 0.5000 0.0000
```

# 2
Material: GaCoS2N
Method: DFT, PBE
State: optimized geometry

Summary:
**Energy above the most stable polymorph in this dataset**: 701.9 meV per atom
**Crystal system**: tetragonal
**Total energy**: -21.50 eV per cell

The structure in CIF format:
```
data_GaCoS2N
_cell_length_a 4.8369
_cell_length_b 4.8369
_cell_length_c 3.7037
_cell_angle_alpha 90.00
_cell_angle_beta 90.00
_cell_angle_gamma 90.00
_symmetry_space_group_name_H-M 'P 4/m m m'
_symmetry_Int_Tables_number 123
_symmetry_space_group_name_Hall '-P 4 2'
loop_
_atom_site_label
_atom_site_type_symbol
_atom_site_fract_x
_atom_site_fract_y
_atom_site_fract_z
Ga1 Ga 0.0000 0.0000 0.0000
Co1 Co 0.5000 0.5000 0.5000
S1 S 0.0000 0.5000 0.0000
N1 N 0.0000 0.0000 0.5000
```

# 3
Material: GaCoSeN2
Method: DFT, PBE
State: optimized geometry

Summary:
**Energy above the most stable polymorph in this dataset**: 511.7 meV per atom
**Crystal system**: tetragonal
**Total energy**: -23.32 eV per cell

The structure in CIF format:
```
data_GaCoSeN2
_cell_length_a 3.7157
_cell_length_b 3.7157
_cell_length_c 5.8779
_cell_angle_alpha 90.00
_cell_angle_beta 90.00
_cell_angle_gamma 90.00
_symmetry_space_group_name_H-M 'P 4/m m m'
_symmetry_Int_Tables_number 123
_symmetry_space_group_name_Hall '-P 4 2'
loop_
_atom_site_label
_atom_site_type_symbol
_atom_site_fract_x
_atom_site_fract_y
_atom_site_fract_z
Ga1 Ga 0.0000 0.0000 0.0000
Co1 Co 0.5000 0.5000 0.5000
Se1 Se 0.0000 0.0000 0.5000
N1 N 0.0000 0.5000 0.0000
```

ΔE_f (raw), record by record: 341.1, 1043.0, 1390.1 meV per atom